No. 1
DyTmH2O4: relaxed, GGA-PBE.

```
8
Lattice="4.269 0.000 0.000 0.000 3.571 0.000 -1.968 0.000 5.549" Properties=species:S:1:pos:R:3 pbc="T T T"
Dy -0.893 0.000 4.507
H 1.374 0.000 2.246
H 0.931 1.785 3.257
O 1.037 1.785 0.332
O 2.336 0.000 2.400
O -0.031 1.785 3.111
O 1.264 0.000 5.278
Tm 3.188 1.785 1.068
```

Computed properties:
Total magnetization: 0.0 μB per formula unit

***

No. 2
DyHPd3: relaxed, GGA-PBE.

```
5
Lattice="4.148 0.000 0.000 0.000 4.148 0.000 0.000 0.000 4.148" Properties=species:S:1:pos:R:3 pbc="T T T"
Dy 2.074 2.074 2.074
H 0.000 0.000 0.000
Pd 2.074 0.000 0.000
Pd 0.000 2.074 0.000
Pd 0.000 0.000 2.074
```

Computed properties:
Total magnetization: 0.0 μB per formula unit

***

| no. | final energy (eV per atom) |
| --- | --- |
| 1 | -7.1301 |
| 2 | -5.4238 |